This record from Alexandria via LeMat-Bulk describes a crystal of Co4Au3 relaxed with PBEsol. The functional is meta-GGA SCAN.

```
data_Co4Au3
_chemical_formula_sum 'Co8 Au6'
_cell_length_a 2.7249
_cell_length_b 2.7249
_cell_length_c 25.1131
_cell_angle_alpha 90.00
_cell_angle_beta 90.00
_cell_angle_gamma 90.00
_symmetry_space_group_name_H-M 'I 4/m m m'
_symmetry_Int_Tables_number 139
_symmetry_space_group_name_Hall '-I 4 2'
loop_
_atom_site_label
_atom_site_fract_x
_atom_site_fract_y
_atom_site_fract_z
_atom_site_occupancy
Co1 0.0000 0.0000 0.0758 1
Co2 0.0000 0.0000 0.3703 1
Au1 0.0000 0.0000 0.2054 1
Au2 0.0000 0.0000 0.5000 1
```

Its energy of formation is 13 kJ per mole of atoms.